A plane-wave DFT calculation with PBE was carried out for YB4Os after structural relaxation.

abc: 3.1753 5.3415 7.1279
angles: 90.00 90.00 90.00
Last column: nearest neighbours and their distance in Å.
Space group Immm (No. 71)
Unique sites:
Y 0.0000 0.0000 0.0000 x2  12 B 2.53-2.54
B 0.0000 0.3340 0.2513 x8  3 B 1.77-1.82
Os 0.0000 0.0000 0.5000 x2  12 B 2.52-2.55

- electronic total energy (eV per atom) = -7.51
- E above lowest polymorph (meV/atom) = 457.2
- theoretical density (g/cm³) = 8.9